# LiRuSe2N | Alexandria via LeMat-Bulk | PBE | optimized geometry
# DOS(E_F): 3.742 states/eV/f.u.
# Electronic total energy: -4.19 eV/atom
# ρ: 6364 kg/m³
# Formation energy from raw total energies: 1112 meV per atom
# Polymorph energy (0 for the lowest one): 1014.0 meV/atom
data_LiRuSe2N
_chemical_formula_sum 'Li1 Ru1 Se2 N1'
_space_group_name_H-M_alt 'P 4/m m m'
_space_group_IT_number 123
_space_group_name_Hall '-P 4 2'
_cell_length_a 4.651
_cell_length_b 4.651
_cell_length_c 3.377
_cell_angle_alpha 90.00
_cell_angle_beta 90.00
_cell_angle_gamma 90.00
loop_
_atom_site_label
_atom_site_fract_x
_atom_site_fract_y
_atom_site_fract_z
_atom_site_occupancy
Li1 0.000 0.000 0.000 1
Ru1 0.500 0.500 0.500 1
Se1 0.000 0.500 0.000 1
N1 0.000 0.000 0.500 1

***

# LiSnRu2N | Alexandria via LeMat-Bulk | PBE | optimized geometry
# DOS(E_F): 3.257 states/eV/f.u.
# Electronic total energy: -6.68 eV/atom
# ρ: 8499 kg/m³
# Formation energy from raw total energies: -117 meV per atom
data_LiSnRu2N
_chemical_formula_sum 'Li1 Sn1 Ru2 N1'
_space_group_name_H-M_alt 'P 4/m m m'
_space_group_IT_number 123
_space_group_name_Hall '-P 4 2'
_cell_length_a 4.065
_cell_length_b 4.065
_cell_length_c 4.042
_cell_angle_alpha 90.00
_cell_angle_beta 90.00
_cell_angle_gamma 90.00
loop_
_atom_site_label
_atom_site_fract_x
_atom_site_fract_y
_atom_site_fract_z
_atom_site_occupancy
Li1 0.000 0.000 0.000 1
Sn1 0.500 0.500 0.000 1
Ru1 0.000 0.500 0.500 1
N1 0.000 0.000 0.500 1

***

# Sr2LiRuN | Alexandria via LeMat-Bulk | PBE | optimized geometry
# DOS(E_F): 2.295 states/eV/f.u.
# Electronic total energy: -4.84 eV/atom
# ρ: 4263 kg/m³
# Formation energy from raw total energies: -264 meV per atom
data_Sr2LiRuN
_chemical_formula_sum 'Sr2 Li1 Ru1 N1'
_space_group_name_H-M_alt 'P 4/m m m'
_space_group_IT_number 123
_space_group_name_Hall '-P 4 2'
_cell_length_a 5.490
_cell_length_b 5.490
_cell_length_c 3.842
_cell_angle_alpha 90.00
_cell_angle_beta 90.00
_cell_angle_gamma 90.00
loop_
_atom_site_label
_atom_site_fract_x
_atom_site_fract_y
_atom_site_fract_z
_atom_site_occupancy
Sr1 0.000 0.500 0.000 1
Li1 0.000 0.000 0.500 1
Ru1 0.500 0.500 0.500 1
N1 0.500 0.500 0.000 1

***

# LiTa2RuN | Alexandria via LeMat-Bulk | PBE | optimized geometry
# DOS(E_F): 2.040 states/eV/f.u.
# Electronic total energy: -9.17 eV/atom
# ρ: 12105 kg/m³
# Formation energy from raw total energies: -523 meV per atom
data_LiTa2RuN
_chemical_formula_sum 'Li1 Ta2 Ru1 N1'
_space_group_name_H-M_alt 'P 4/m m m'
_space_group_IT_number 123
_space_group_name_Hall '-P 4 2'
_cell_length_a 4.257
_cell_length_b 4.257
_cell_length_c 3.664
_cell_angle_alpha 90.00
_cell_angle_beta 90.00
_cell_angle_gamma 90.00
loop_
_atom_site_label
_atom_site_fract_x
_atom_site_fract_y
_atom_site_fract_z
_atom_site_occupancy
Li1 0.000 0.000 0.000 1
Ta1 0.000 0.500 0.500 1
Ru1 0.500 0.500 0.000 1
N1 0.000 0.000 0.500 1

***

# Li2TeRuN | Alexandria via LeMat-Bulk | PBE | optimized geometry
# DOS(E_F): 2.397 states/eV/f.u.
# Electronic total energy: -5.29 eV/atom
# ρ: 6075 kg/m³
# Formation energy from raw total energies: -371 meV per atom
data_Li2TeRuN
_chemical_formula_sum 'Li2 Te1 Ru1 N1'
_space_group_name_H-M_alt 'P 4/m m m'
_space_group_IT_number 123
_space_group_name_Hall '-P 4 2'
_cell_length_a 4.254
_cell_length_b 4.254
_cell_length_c 3.875
_cell_angle_alpha 90.00
_cell_angle_beta 90.00
_cell_angle_gamma 90.00
loop_
_atom_site_label
_atom_site_fract_x
_atom_site_fract_y
_atom_site_fract_z
_atom_site_occupancy
Li1 0.000 0.500 0.000 1
Te1 0.000 0.000 0.500 1
Ru1 0.500 0.500 0.500 1
N1 0.500 0.500 0.000 1

***

# LiTe2RuN | Alexandria via LeMat-Bulk | PBE | optimized geometry
# DOS(E_F): 3.395 states/eV/f.u.
# Electronic total energy: -5.11 eV/atom
# ρ: 5598 kg/m³
# Formation energy from raw total energies: 49 meV per atom
# Polymorph energy (0 for the lowest one): 0.0 meV/atom
data_LiTe2RuN
_chemical_formula_sum 'Li1 Te2 Ru1 N1'
_space_group_name_H-M_alt 'P 4/m m m'
_space_group_IT_number 123
_space_group_name_Hall '-P 4 2'
_cell_length_a 5.557
_cell_length_b 5.557
_cell_length_c 3.624
_cell_angle_alpha 90.00
_cell_angle_beta 90.00
_cell_angle_gamma 90.00
loop_
_atom_site_label
_atom_site_fract_x
_atom_site_fract_y
_atom_site_fract_z
_atom_site_occupancy
Li1 0.000 0.000 0.000 1
Te1 0.000 0.500 0.500 1
Ru1 0.500 0.500 0.500 1
N1 0.500 0.500 0.000 1